A plane-wave DFT calculation with GGA-PBE was carried out for a relaxed RePt2 crystal.

## Properties
Final energy in eV per atom: -8.228
V in Å³/cell: 183.6
Energy relative to the elements in eV/atom: -0.052
Polymorph energy (0 for the lowest one) in meV per atom: 95.3
Total magnetization in μB per atom: 0.000
Density in Mg/m³: 20.85

Geometry as extended XYZ:
```
12
Lattice="-0.3429 0.4208 4.8212 2.9590 -3.3577 0.5036 6.3077 5.5532 -0.0361" Properties=species:S:1:pos:R:3 pbc="T T T"
Re 5.8724 3.8027 0.9193
Re 4.1437 -0.5860 1.9535
Re 4.7800 3.2024 3.3352
Re 3.0513 -1.1864 4.3694
Pt 1.6961 0.1220 0.9172
Pt 3.8252 2.0031 0.9490
Pt 8.4067 3.1644 1.9112
Pt 6.2713 1.2910 1.9674
Pt 2.6524 1.3253 3.3213
Pt 0.5170 -0.5481 3.3775
Pt 5.0985 0.6133 4.3397
Pt 7.2276 2.4943 4.3715
```

=====

A plane-wave DFT calculation with GGA-PBE was carried out for a relaxed RePt2 crystal.

## Properties
Final energy in eV per atom: -8.239
V in Å³/cell: 92.1
Energy relative to the elements in eV/atom: -0.063
Polymorph energy (0 for the lowest one) in meV per atom: 84.6
Total magnetization in μB per atom: 0.000
Density in Mg/m³: 20.78

Geometry as extended XYZ:
```
6
Lattice="-0.8670 -0.2554 -2.6398 1.3051 -4.8954 1.5196 -5.7423 -2.7372 2.1508" Properties=species:S:1:pos:R:3 pbc="T T T"
Pt -0.0354 -0.0575 0.0172
Pt -3.5479 -5.8695 1.7330
Pt -3.8926 -3.6410 0.1560
Pt -2.1009 -1.5651 0.8414
Re -1.3330 -4.1809 0.8422
Re -0.3652 -2.5924 -1.1039
```

=====

A plane-wave DFT calculation with GGA-PBE was carried out for a relaxed RePt crystal.

## Properties
Final energy in eV per atom: -8.660
V in Å³/cell: 71.6
Energy relative to the elements in eV/atom: 0.584
Polymorph energy (0 for the lowest one) in meV per atom: 709.7
Total magnetization in μB per atom: 0.000
Density in Mg/m³: 17.69

Geometry as extended XYZ:
```
4
Lattice="-3.0857 -1.1114 2.4317 3.7130 0.6358 1.5745 -1.1320 4.7696 0.7436" Properties=species:S:1:pos:R:3 pbc="T T T"
Pt 1.1638 1.2458 2.0462
Pt -1.6684 3.0482 2.7037
Re 0.0000 0.0000 0.0000
Re -0.5660 2.3848 0.3718
```

=====

A plane-wave DFT calculation with GGA-PBE was carried out for a relaxed RePt crystal.

## Properties
Final energy in eV per atom: -8.644
V in Å³/cell: 284.5
Energy relative to the elements in eV/atom: 0.601
Polymorph energy (0 for the lowest one) in meV per atom: 726.2
Total magnetization in μB per atom: 0.000
Density in Mg/m³: 13.35

Geometry as extended XYZ:
```
12
Lattice="-7.1404 4.5184 6.9830 -3.5444 -4.3319 -9.4253 -0.3242 -2.4187 1.2335" Properties=species:S:1:pos:R:3 pbc="T T T"
Re -4.3725 2.0733 4.4314
Re -6.5935 -1.7283 -0.5758
Re -9.2803 1.3214 1.6675
Re -6.6364 -4.3055 -5.6401
Re -4.4154 -0.5038 -0.6330
Re -1.7286 -3.5536 -2.8762
Pt -6.5667 1.7363 3.1941
Pt -6.6111 -2.8811 -2.8406
Pt -7.1038 0.5057 0.6399
Pt -4.4423 -3.9685 -4.4028
Pt -4.3978 0.6489 1.6319
Pt -3.9052 -2.7378 -1.8487
```

=====

A plane-wave DFT calculation with GGA-PBE was carried out for a relaxed Re5Pt3 crystal.

## Properties
Final energy in eV per atom: -10.076
V in Å³/cell: 120.2
Energy relative to the elements in eV/atom: -0.030
Polymorph energy (0 for the lowest one) in meV per atom: 89.8
Total magnetization in μB per atom: 0.000
Density in Mg/m³: 20.94

Geometry as extended XYZ:
```
8
Lattice="3.8792 -3.9951 0.0000 3.8792 3.9951 0.0000 0.0000 0.0000 3.8789" Properties=species:S:1:pos:R:3 pbc="T T T"
Re 0.0000 0.0000 0.0000
Re 1.9396 1.9975 0.0000
Re 1.9396 -1.9975 0.0000
Re 3.8792 -2.0313 1.9394
Re 3.8792 2.0313 1.9394
Pt 3.8792 0.0000 0.0000
Pt 1.9351 0.0000 1.9394
Pt 5.8232 0.0000 1.9394
```

=====

A plane-wave DFT calculation with GGA-PBE was carried out for a relaxed RePt crystal.

## Properties
Final energy in eV per atom: -9.224
V in Å³/cell: 60.4
Energy relative to the elements in eV/atom: 0.020
Polymorph energy (0 for the lowest one) in meV per atom: 145.6
Total magnetization in μB per atom: 0.001
Density in Mg/m³: 20.95

Geometry as extended XYZ:
```
4
Lattice="-0.8455 3.3157 1.7636 0.1053 -1.7862 3.4084 3.9781 0.8444 0.3196" Properties=species:S:1:pos:R:3 pbc="T T T"
Pt -0.1324 -0.5107 2.9972
Pt -0.6078 2.0402 2.1748
Re 1.8039 0.8046 1.4528
Re 1.4339 1.5693 4.0389
```